1.
A relaxed structure of Y5Te2As2, computed with PBE.

Results
**E_form (uncorrected)**: -1234 meV/atom

Cell: 15.1192 7.8578 7.8515 Å, 90.00 90.00 90.00°
Space group Cmce (No. 64)
Symmetry-distinct sites (fractional):
1 Y 0.0000 0.0000 0.0000 (multiplicity 4)
2 Y 0.1268 0.1568 0.3423 (multiplicity 16)
3 Te 0.2021 0.0000 0.0000 (multiplicity 8)
4 As 0.0000 0.1471 0.6442 (multiplicity 8)

2.
A relaxed structure of MnHg5, computed with PBE.

Results
**E_form**: 0.433 eV/atom

Cell: 5.7019 5.7019 5.8168 Å, 90.00 90.00 120.00°
Space group P6/mmm (No. 191)
Symmetry-distinct sites (fractional):
1 Mn 0.0000 0.0000 0.0000 (multiplicity 1)
2 Hg 0.0000 0.5000 0.5000 (multiplicity 3)
3 Hg 0.3333 0.6667 0.0000 (multiplicity 2)

3.
A relaxed structure of CeLuAgGe, computed with PBE.

Results
**E_form**: -0.421 eV/atom

Cell: 7.2211 7.2211 7.2211 Å, 90.00 90.00 90.00°
Space group F-43m (No. 216)
Symmetry-distinct sites (fractional):
1 Ce 0.0000 0.0000 0.0000 (multiplicity 4)
2 Lu 0.0000 0.0000 0.5000 (multiplicity 4)
3 Ag 0.2500 0.2500 0.7500 (multiplicity 4)
4 Ge 0.2500 0.2500 0.2500 (multiplicity 4)

4.
A relaxed structure of NdBi3Pb3, computed with PBE.

Results
**E_form**: -0.169 eV/atom

Cell: 9.1576 10.5750 9.7564 Å, 90.00 90.00 90.00°
Space group Cmmm (No. 65)
Symmetry-distinct sites (fractional):
1 Nd 0.0000 0.2127 0.0000 (multiplicity 4)
2 Bi 0.0000 0.0000 0.2560 (multiplicity 4)
3 Bi 0.2500 0.2500 0.2482 (multiplicity 8)
4 Pb 0.0000 0.2531 0.5000 (multiplicity 4)
5 Pb 0.1993 0.5000 0.0000 (multiplicity 4)
6 Pb 0.2307 0.5000 0.5000 (multiplicity 4)

VASP energy per entry: -0.482; -0.099; -0.360; -0.302 Ry/atom